Compound: CsRuRh
Source: the Alexandria database
Functional: GGA-PBE
Structure: relaxed

Lattice parameters (Å, degrees): 7.3403 4.2449 12.1264 90.00 102.39 90.00
Closest atoms and distances in Å follow each position.
Space group Cm (No. 8)
Inequivalent atoms, fractional coordinates:
Cs 0.0000 0.0000 0.0000 (multiplicity 2)  3 Rh 3.37, 1 Ru 3.60
Cs 0.2153 0.0000 0.6084 (multiplicity 2)  3 Rh 3.37, 1 Ru 3.60
Ru 0.1078 0.0000 0.3043 (multiplicity 2)  3 Ru 2.45
Ru 0.2743 0.5000 0.3044 (multiplicity 2)  3 Ru 2.45
Rh 0.4023 0.0000 0.1958 (multiplicity 2)  1 Rh 2.57, 6 Ru 2.76-2.77
Rh 0.4795 0.0000 0.4128 (multiplicity 2)  1 Rh 2.57, 6 Ru 2.76-2.77

Calculated values
- E: -5.341 eV per atom